No. 1
# SrIrRh (PBE, optimized geometry)
# * total energy: -15.78 eV per cell
# * energy of formation: 0.71 eV per atom
# * crystal system: trigonal
# * mass density: 11.04 g/cm³
data_SrIrRh
_cell_length_a 3.0392
_cell_length_b 3.0392
_cell_length_c 7.1941
_cell_angle_alpha 90.00
_cell_angle_beta 90.00
_cell_angle_gamma 120.00
_symmetry_space_group_name_H-M 'P 3 m 1'
_symmetry_Int_Tables_number 156
_symmetry_space_group_name_Hall 'P 3 -2"'
loop_
_atom_site_label
_atom_site_fract_x
_atom_site_fract_y
_atom_site_fract_z
_atom_site_occupancy
Sr1 0.0000 0.0000 0.0000 1
Ir1 0.6667 0.3333 0.3588 1
Rh1 0.3333 0.6667 0.6413 1

---

No. 2
# Y3Ho7Tm (PBE, optimized geometry)
# * total energy: -54.18 eV per cell
# * energy of formation: 0.16 eV per atom
# * crystal system: monoclinic
# * mass density: 7.47 g/cm³
data_Y3Ho7Tm
_cell_length_a 6.9629
_cell_length_b 5.4947
_cell_length_c 9.8285
_cell_angle_alpha 90.00
_cell_angle_beta 109.93
_cell_angle_gamma 90.00
_symmetry_space_group_name_H-M 'P 1 2/m 1'
_symmetry_Int_Tables_number 10
_symmetry_space_group_name_Hall '-P 2y'
loop_
_atom_site_label
_atom_site_fract_x
_atom_site_fract_y
_atom_site_fract_z
_atom_site_occupancy
Y1 0.0000 0.0000 0.0000 1
Y2 0.2777 0.5000 0.4963 1
Ho1 0.0000 0.0000 0.5000 1
Ho2 0.1498 0.5000 0.7923 1
Ho3 0.3212 0.5000 0.1400 1
Ho4 0.4222 0.0000 0.3298 1
Tm1 0.5000 0.0000 0.0000 1

---

No. 3
# Rb2PHS4 (PBE, optimized geometry)
# * total energy: -116.02 eV per cell
# * crystal system: monoclinic
# * mass density: 2.56 g/cm³
data_Rb2PHS4
_cell_length_a 11.2208
_cell_length_b 8.7956
_cell_length_c 9.1563
_cell_angle_alpha 90.00
_cell_angle_beta 108.12
_cell_angle_gamma 90.00
_symmetry_space_group_name_H-M 'C 1 2/c 1'
_symmetry_Int_Tables_number 15
_symmetry_space_group_name_Hall '-C 2yc'
loop_
_atom_site_label
_atom_site_fract_x
_atom_site_fract_y
_atom_site_fract_z
_atom_site_occupancy
Rb1 0.0000 0.0000 0.0000 1
Rb2 0.2500 0.2500 0.0000 1
P1 0.2500 0.2500 0.5000 1
H1 0.0000 0.5000 0.0000 1
S1 0.0915 0.3486 0.5793 1
S2 0.2138 0.4112 0.3227 1

---

No. 4
# BaMnAl (PBE, optimized geometry)
# * total energy: -14.09 eV per cell
# * energy of formation: 0.25 eV per atom
# * crystal system: hexagonal
# * mass density: 4.02 g/cm³
data_BaMnAl
_cell_length_a 4.6082
_cell_length_b 4.6082
_cell_length_c 4.9242
_cell_angle_alpha 90.00
_cell_angle_beta 90.00
_cell_angle_gamma 120.00
_symmetry_space_group_name_H-M 'P -6 m 2'
_symmetry_Int_Tables_number 187
_symmetry_space_group_name_Hall 'P -6 2'
loop_
_atom_site_label
_atom_site_fract_x
_atom_site_fract_y
_atom_site_fract_z
_atom_site_occupancy
Ba1 0.0000 0.0000 0.0000 1
Mn1 0.6667 0.3333 0.5000 1
Al1 0.3333 0.6667 0.5000 1